No. 1
Material: YCdPt2
Method: DFT, PBEsol
State: relaxed

Calculated values
Calculated formation energy = -0.766 eV per atom
Total DFT energy (no corrections) = -0.230 hartree per atom

CIF file:
```
data_YCdPt2
_chemical_formula_sum 'Y2 Cd2 Pt4'
_symmetry_space_group_name_H-M 'P 1'
_symmetry_Int_Tables_number 1
_symmetry_space_group_name_Hall 'P 1'
_cell_length_a 6.018
_cell_length_b 6.659
_cell_length_c 3.678
_cell_angle_alpha 90.00
_cell_angle_beta 90.00
_cell_angle_gamma 90.00
loop_
_atom_site_label
_atom_site_fract_x
_atom_site_fract_y
_atom_site_fract_z
_atom_site_occupancy
Y1 0.000 0.000 0.000 1
Y2 0.500 0.500 0.000 1
Cd1 0.000 0.500 0.000 1
Cd2 0.500 0.000 0.000 1
Pt1 0.250 0.250 0.500 1
Pt2 0.250 0.750 0.500 1
Pt3 0.750 0.250 0.500 1
Pt4 0.750 0.750 0.500 1
```

No. 2
Material: YCdPt2
Method: DFT, PBEsol
State: relaxed

Calculated values
Calculated formation energy = -0.774 eV per atom
Total DFT energy (no corrections) = -0.230 hartree per atom

CIF file:
```
data_YCdPt2
_chemical_formula_sum 'Y2 Cd2 Pt4'
_symmetry_space_group_name_H-M 'P 1'
_symmetry_Int_Tables_number 1
_symmetry_space_group_name_Hall 'P 1'
_cell_length_a 4.190
_cell_length_b 3.699
_cell_length_c 10.193
_cell_angle_alpha 90.00
_cell_angle_beta 90.00
_cell_angle_gamma 90.00
loop_
_atom_site_label
_atom_site_fract_x
_atom_site_fract_y
_atom_site_fract_z
_atom_site_occupancy
Y1 0.000 0.000 0.000 1
Y2 0.000 0.500 0.500 1
Cd1 0.500 0.000 0.293 1
Cd2 0.500 0.500 0.793 1
Pt1 0.000 0.000 0.728 1
Pt2 0.000 0.500 0.228 1
Pt3 0.500 0.000 0.564 1
Pt4 0.500 0.500 0.064 1
```

No. 3
Material: YCdPt2
Method: DFT, PBEsol
State: relaxed

Calculated values
Calculated formation energy = -0.790 eV per atom
Total DFT energy (no corrections) = -0.231 hartree per atom

CIF file:
```
data_YCdPt2
_chemical_formula_sum 'Y2 Cd2 Pt4'
_symmetry_space_group_name_H-M 'P 1'
_symmetry_Int_Tables_number 1
_symmetry_space_group_name_Hall 'P 1'
_cell_length_a 4.031
_cell_length_b 4.031
_cell_length_c 8.939
_cell_angle_alpha 90.00
_cell_angle_beta 90.00
_cell_angle_gamma 90.00
loop_
_atom_site_label
_atom_site_fract_x
_atom_site_fract_y
_atom_site_fract_z
_atom_site_occupancy
Y1 0.000 0.000 0.000 1
Y2 0.500 0.500 0.500 1
Cd1 0.000 0.500 0.750 1
Cd2 0.500 0.000 0.250 1
Pt1 0.000 0.000 0.500 1
Pt2 0.000 0.500 0.250 1
Pt3 0.500 0.000 0.750 1
Pt4 0.500 0.500 0.000 1
```

No. 4
Material: ZnCdPt2
Method: DFT, PBEsol
State: relaxed

Calculated values
Calculated formation energy = -0.270 eV per atom
Total DFT energy (no corrections) = -0.163 hartree per atom

CIF file:
```
data_ZnCdPt2
_chemical_formula_sum 'Zn1 Cd1 Pt2'
_symmetry_space_group_name_H-M 'P 1'
_symmetry_Int_Tables_number 1
_symmetry_space_group_name_Hall 'P 1'
_cell_length_a 2.815
_cell_length_b 3.933
_cell_length_c 5.649
_cell_angle_alpha 90.00
_cell_angle_beta 90.00
_cell_angle_gamma 90.00
loop_
_atom_site_label
_atom_site_fract_x
_atom_site_fract_y
_atom_site_fract_z
_atom_site_occupancy
Zn1 0.000 0.000 0.000 1
Cd1 0.500 0.500 0.295 1
Pt1 0.000 0.000 0.530 1
Pt2 0.500 0.500 0.809 1
```

No. 5
Material: ZnCdPt2
Method: DFT, PBEsol
State: relaxed

Calculated values
Calculated formation energy = -0.127 eV per atom
Total DFT energy (no corrections) = -0.158 hartree per atom

CIF file:
```
data_ZnCdPt2
_chemical_formula_sum 'Zn3 Cd3 Pt6'
_symmetry_space_group_name_H-M 'P 1'
_symmetry_Int_Tables_number 1
_symmetry_space_group_name_Hall 'P 1'
_cell_length_a 2.840
_cell_length_b 2.840
_cell_length_c 26.966
_cell_angle_alpha 90.00
_cell_angle_beta 90.00
_cell_angle_gamma 120.00
loop_
_atom_site_label
_atom_site_fract_x
_atom_site_fract_y
_atom_site_fract_z
_atom_site_occupancy
Zn1 0.000 0.000 0.000 1
Zn2 0.333 0.667 0.667 1
Zn3 0.667 0.333 0.333 1
Cd1 0.000 0.000 0.754 1
Cd2 0.333 0.667 0.421 1
Cd3 0.667 0.333 0.088 1
Pt1 0.000 0.000 0.259 1
Pt2 0.000 0.000 0.507 1
Pt3 0.333 0.667 0.174 1
Pt4 0.333 0.667 0.926 1
Pt5 0.667 0.333 0.592 1
Pt6 0.667 0.333 0.841 1
```

No. 6
Material: ZnCd2Pt2
Method: DFT, PBEsol
State: relaxed

Calculated values
Calculated formation energy = -0.288 eV per atom
Total DFT energy (no corrections) = -0.142 hartree per atom

CIF file:
```
data_ZnCd2Pt2
_chemical_formula_sum 'Zn2 Cd4 Pt4'
_symmetry_space_group_name_H-M 'P 1'
_symmetry_Int_Tables_number 1
_symmetry_space_group_name_Hall 'P 1'
_cell_length_a 6.513
_cell_length_b 6.513
_cell_length_c 4.130
_cell_angle_alpha 90.00
_cell_angle_beta 90.00
_cell_angle_gamma 90.00
loop_
_atom_site_label
_atom_site_fract_x
_atom_site_fract_y
_atom_site_fract_z
_atom_site_occupancy
Zn1 0.000 0.000 0.000 1
Zn2 0.500 0.500 0.000 1
Cd1 0.161 0.339 0.500 1
Cd2 0.339 0.839 0.500 1
Cd3 0.661 0.161 0.500 1
Cd4 0.839 0.661 0.500 1
Pt1 0.144 0.644 0.000 1
Pt2 0.356 0.144 0.000 1
Pt3 0.644 0.856 0.000 1
Pt4 0.856 0.356 0.000 1
```

Respective density of states at the Fermi level values: 3.017 3.038 2.738 1.427 4.712 5.679 states/eV/cell.